Here is a relaxed SbTe2RuI crystal from Alexandria via LeMat-Bulk. Energies are from PBE.

Output
total moment	3.3	μB per cell
E_form (uncorrected)	1.750	eV per atom
E above lowest polymorph	1368.6	meV/atom
D(E_F)	7.70	states/eV per cell

Structure (CIF):
```
data_SbTe2RuI
_chemical_formula_sum 'Sb1 Te2 Ru1 I1'
_space_group_name_H-M_alt 'P 1'
_space_group_IT_number 1
_cell_length_a 5.720
_cell_length_b 5.720
_cell_length_c 5.816
_cell_angle_alpha 90.00
_cell_angle_beta 90.00
_cell_angle_gamma 90.00
loop_
_space_group_symop_operation_xyz
'x,y,z'
loop_
_atom_site_label
_atom_site_type_symbol
_atom_site_fract_x
_atom_site_fract_y
_atom_site_fract_z
_atom_site_occupancy
Ru1 Ru 0.500 0.500 0.500 1
Te1 Te 0.500 0.000 0.000 1
Te2 Te 0.000 0.500 0.000 1
I1 I 0.000 0.000 0.000 1
Sb1 Sb 0.000 0.000 0.500 1
```



Here is a relaxed SmUSe2 crystal from Alexandria via LeMat-Bulk. Energies are from PBE.

Output
total moment	3.3	μB per cell
E_form (uncorrected)	-1.336	eV per atom
E above lowest polymorph	56.8	meV/atom
D(E_F)	3.59	states/eV per cell

Structure (CIF):
```
data_SmUSe2
_chemical_formula_sum 'Sm1 U1 Se2'
_space_group_name_H-M_alt 'P 1'
_space_group_IT_number 1
_cell_length_a 3.928
_cell_length_b 3.928
_cell_length_c 7.823
_cell_angle_alpha 75.46
_cell_angle_beta 75.46
_cell_angle_gamma 60.00
loop_
_space_group_symop_operation_xyz
'x,y,z'
loop_
_atom_site_label
_atom_site_type_symbol
_atom_site_fract_x
_atom_site_fract_y
_atom_site_fract_z
_atom_site_occupancy
Sm1 Sm 0.670 0.670 0.989 1
U1 U 0.497 0.497 0.510 1
Se1 Se 0.250 0.250 0.250 1
Se2 Se 0.083 0.083 0.750 1
```



> What is the formula in the second record?

SmUSe2



> The highest D(E_F) belongs to which entry?

SbTe2RuI